Run one
# P2RhAu (PBE-GGA, relaxed)
data_P2RhAu
_chemical_formula_sum 'P2 Rh1 Au1'
_cell_length_a 7.0930
_cell_length_b 7.0930
_cell_length_c 7.0930
_cell_angle_alpha 26.87
_cell_angle_beta 26.87
_cell_angle_gamma 26.87
_space_group_name_H-M_alt 'P 1'
_space_group_IT_number 1
loop_
_space_group_symop_operation_xyz
'x,y,z'
loop_
_atom_site_label
_atom_site_type_symbol
_atom_site_fract_x
_atom_site_fract_y
_atom_site_fract_z
Au1 Au 0.7500 0.7500 0.7500
P1 P 0.9909 0.9909 0.9909
P2 P 0.5091 0.5091 0.5091
Rh1 Rh 0.2500 0.2500 0.2500
# **Crystal system**: trigonal

***

Run two
# P2RhAu (PBE-GGA, relaxed)
data_P2RhAu
_chemical_formula_sum 'P2 Rh1 Au1'
_cell_length_a 2.9603
_cell_length_b 2.9608
_cell_length_c 7.6433
_cell_angle_alpha 90.00
_cell_angle_beta 90.00
_cell_angle_gamma 90.00
_space_group_name_H-M_alt 'P 1'
_space_group_IT_number 1
loop_
_space_group_symop_operation_xyz
'x,y,z'
loop_
_atom_site_label
_atom_site_type_symbol
_atom_site_fract_x
_atom_site_fract_y
_atom_site_fract_z
Au1 Au 0.5000 0.5000 0.7678
P1 P 0.0000 0.0000 0.9883
P2 P 0.5000 0.5000 0.4492
Rh1 Rh 0.0000 0.0000 0.2947
# **Crystal system**: tetragonal

***

Run three
# P2RhAu (PBE-GGA, relaxed)
data_P2RhAu
_chemical_formula_sum 'P2 Rh1 Au1'
_cell_length_a 3.2555
_cell_length_b 4.2915
_cell_length_c 4.9656
_cell_angle_alpha 63.69
_cell_angle_beta 90.00
_cell_angle_gamma 90.00
_space_group_name_H-M_alt 'P 1'
_space_group_IT_number 1
loop_
_space_group_symop_operation_xyz
'x,y,z'
loop_
_atom_site_label
_atom_site_type_symbol
_atom_site_fract_x
_atom_site_fract_y
_atom_site_fract_z
Au1 Au 0.5000 0.7970 0.7297
P1 P 0.0000 0.9960 0.0750
P2 P 0.5000 0.2799 0.2000
Rh1 Rh 0.0000 0.4271 0.4953
# **Crystal system**: monoclinic

***

Run four
# P2RhAu (PBE-GGA, relaxed)
data_P2RhAu
_chemical_formula_sum 'P2 Rh1 Au1'
_cell_length_a 4.4115
_cell_length_b 4.4115
_cell_length_c 4.4115
_cell_angle_alpha 60.00
_cell_angle_beta 60.00
_cell_angle_gamma 60.00
_space_group_name_H-M_alt 'P 1'
_space_group_IT_number 1
loop_
_space_group_symop_operation_xyz
'x,y,z'
loop_
_atom_site_label
_atom_site_type_symbol
_atom_site_fract_x
_atom_site_fract_y
_atom_site_fract_z
Rh1 Rh 0.0000 0.0000 0.0000
Au1 Au 0.5000 0.5000 0.5000
P1 P 0.2500 0.2500 0.2500
P2 P 0.7500 0.7500 0.7500
# **Crystal system**: cubic

***

In terms of stability, run three leads; the second structure lies 7 meV per atom higher.

***

Run one
# P2RhAu (PBE-GGA, relaxed)
data_P2RhAu
_chemical_formula_sum 'P2 Rh1 Au1'
_cell_length_a 4.3220
_cell_length_b 4.3220
_cell_length_c 3.2556
_cell_angle_alpha 90.00
_cell_angle_beta 90.00
_cell_angle_gamma 90.02
_space_group_name_H-M_alt 'P 1'
_space_group_IT_number 1
loop_
_space_group_symop_operation_xyz
'x,y,z'
loop_
_atom_site_label
_atom_site_type_symbol
_atom_site_fract_x
_atom_site_fract_y
_atom_site_fract_z
Au1 Au 0.0000 0.5000 0.5000
P1 P 0.0000 0.0000 0.0000
P2 P 0.5000 0.5000 0.0000
Rh1 Rh 0.5000 0.0000 0.5000
# **Crystal system**: tetragonal

***

Run two
# P2RhAu (PBE-GGA, relaxed)
data_P2RhAu
_chemical_formula_sum 'P2 Rh1 Au1'
_cell_length_a 2.9203
_cell_length_b 4.9734
_cell_length_c 4.2697
_cell_angle_alpha 90.00
_cell_angle_beta 90.00
_cell_angle_gamma 90.00
_space_group_name_H-M_alt 'P 1'
_space_group_IT_number 1
loop_
_space_group_symop_operation_xyz
'x,y,z'
loop_
_atom_site_label
_atom_site_type_symbol
_atom_site_fract_x
_atom_site_fract_y
_atom_site_fract_z
Au1 Au 0.0000 0.5000 0.5000
P1 P 0.0000 0.0000 0.0000
P2 P 0.5000 0.5000 0.0000
Rh1 Rh 0.5000 0.0000 0.5000
# **Crystal system**: orthorhombic

***

In terms of stability, run one leads; the second structure lies 143 meV per atom higher.

***

Run one
# PRu3Au (PBE-GGA, relaxed)
data_PRu3Au
_chemical_formula_sum 'P1 Ru3 Au1'
_cell_length_a 4.8746
_cell_length_b 4.8746
_cell_length_c 4.8746
_cell_angle_alpha 90.00
_cell_angle_beta 90.00
_cell_angle_gamma 90.00
_space_group_name_H-M_alt 'P 1'
_space_group_IT_number 1
loop_
_space_group_symop_operation_xyz
'x,y,z'
loop_
_atom_site_label
_atom_site_type_symbol
_atom_site_fract_x
_atom_site_fract_y
_atom_site_fract_z
Ru1 Ru 0.0000 0.5000 0.0000
Ru2 Ru 0.0000 0.0000 0.5000
Ru3 Ru 0.5000 0.0000 0.0000
Au1 Au 0.0000 0.0000 0.0000
P1 P 0.5000 0.5000 0.5000
# **Crystal system**: cubic

***

Run two
# PRu3Au (PBE-GGA, relaxed)
data_PRu3Au
_chemical_formula_sum 'P1 Ru3 Au1'
_cell_length_a 4.3603
_cell_length_b 4.3603
_cell_length_c 4.3603
_cell_angle_alpha 90.00
_cell_angle_beta 90.00
_cell_angle_gamma 90.00
_space_group_name_H-M_alt 'P 1'
_space_group_IT_number 1
loop_
_space_group_symop_operation_xyz
'x,y,z'
loop_
_atom_site_label
_atom_site_type_symbol
_atom_site_fract_x
_atom_site_fract_y
_atom_site_fract_z
Ru1 Ru 0.0000 0.5000 0.0000
Ru2 Ru 0.0000 0.0000 0.5000
Ru3 Ru 0.5000 0.0000 0.0000
Au1 Au 0.5000 0.5000 0.5000
P1 P 0.0000 0.0000 0.0000
# **Crystal system**: cubic

***

In terms of stability, run two leads; the second structure lies 1925 meV per atom higher.

***

Run one
# PRuAu3 (PBE-GGA, relaxed)
data_PRuAu3
_chemical_formula_sum 'P1 Ru1 Au3'
_cell_length_a 5.0105
_cell_length_b 5.0105
_cell_length_c 5.0105
_cell_angle_alpha 90.00
_cell_angle_beta 90.00
_cell_angle_gamma 90.00
_space_group_name_H-M_alt 'P 1'
_space_group_IT_number 1
loop_
_space_group_symop_operation_xyz
'x,y,z'
loop_
_atom_site_label
_atom_site_type_symbol
_atom_site_fract_x
_atom_site_fract_y
_atom_site_fract_z
Ru1 Ru 0.0000 0.0000 0.0000
Au1 Au 0.0000 0.5000 0.0000
Au2 Au 0.0000 0.0000 0.5000
Au3 Au 0.5000 0.0000 0.0000
P1 P 0.5000 0.5000 0.5000
# **Crystal system**: cubic

***

Run two
# PRuAu3 (PBE-GGA, relaxed)
data_PRuAu3
_chemical_formula_sum 'P1 Ru1 Au3'
_cell_length_a 4.6423
_cell_length_b 4.6423
_cell_length_c 4.6423
_cell_angle_alpha 90.00
_cell_angle_beta 90.00
_cell_angle_gamma 90.00
_space_group_name_H-M_alt 'P 1'
_space_group_IT_number 1
loop_
_space_group_symop_operation_xyz
'x,y,z'
loop_
_atom_site_label
_atom_site_type_symbol
_atom_site_fract_x
_atom_site_fract_y
_atom_site_fract_z
Ru1 Ru 0.5000 0.5000 0.5000
Au1 Au 0.0000 0.5000 0.0000
Au2 Au 0.0000 0.0000 0.5000
Au3 Au 0.5000 0.0000 0.0000
P1 P 0.0000 0.0000 0.0000
# **Crystal system**: cubic

***

In terms of stability, run two leads; the second structure lies 727 meV per atom higher.

***

Run one
# ScPAuS2 (PBE-GGA, relaxed)
data_ScPAuS2
_chemical_formula_sum 'Sc1 P1 Au1 S2'
_cell_length_a 4.8455
_cell_length_b 4.8455
_cell_length_c 4.7012
_cell_angle_alpha 90.00
_cell_angle_beta 90.00
_cell_angle_gamma 90.00
_space_group_name_H-M_alt 'P 1'
_space_group_IT_number 1
loop_
_space_group_symop_operation_xyz
'x,y,z'
loop_
_atom_site_label
_atom_site_type_symbol
_atom_site_fract_x
_atom_site_fract_y
_atom_site_fract_z
Sc1 Sc 0.5000 0.5000 0.5000
P1 P 0.0000 0.0000 0.5000
S1 S 0.0000 0.5000 0.0000
S2 S 0.5000 0.0000 0.0000
Au1 Au 0.0000 0.0000 0.0000
# **Crystal system**: tetragonal

***

Run two
# ScPAuS2 (PBE-GGA, relaxed)
data_ScPAuS2
_chemical_formula_sum 'Sc1 P1 Au1 S2'
_cell_length_a 4.8261
_cell_length_b 4.8261
_cell_length_c 5.0813
_cell_angle_alpha 90.00
_cell_angle_beta 90.00
_cell_angle_gamma 90.00
_space_group_name_H-M_alt 'P 1'
_space_group_IT_number 1
loop_
_space_group_symop_operation_xyz
'x,y,z'
loop_
_atom_site_label
_atom_site_type_symbol
_atom_site_fract_x
_atom_site_fract_y
_atom_site_fract_z
Sc1 Sc 0.0000 0.0000 0.0000
P1 P 0.0000 0.0000 0.5000
S1 S 0.0000 0.5000 0.0000
S2 S 0.5000 0.0000 0.0000
Au1 Au 0.5000 0.5000 0.5000
# **Crystal system**: tetragonal

***

In terms of stability, run two leads; the second structure lies 40 meV per atom higher.

***

Run one
# SnPAuS2 (PBE-GGA, relaxed)
data_SnPAuS2
_chemical_formula_sum 'Sn1 P1 Au1 S2'
_cell_length_a 5.0226
_cell_length_b 5.0226
_cell_length_c 4.6237
_cell_angle_alpha 90.00
_cell_angle_beta 90.00
_cell_angle_gamma 90.00
_space_group_name_H-M_alt 'P 1'
_space_group_IT_number 1
loop_
_space_group_symop_operation_xyz
'x,y,z'
loop_
_atom_site_label
_atom_site_type_symbol
_atom_site_fract_x
_atom_site_fract_y
_atom_site_fract_z
P1 P 0.0000 0.0000 0.5000
S1 S 0.0000 0.5000 0.0000
S2 S 0.5000 0.0000 0.0000
Au1 Au 0.0000 0.0000 0.0000
Sn1 Sn 0.5000 0.5000 0.5000
# **Crystal system**: tetragonal

***

Run two
# SnPAuS2 (PBE-GGA, relaxed)
data_SnPAuS2
_chemical_formula_sum 'Sn1 P1 Au1 S2'
_cell_length_a 4.9510
_cell_length_b 4.9510
_cell_length_c 5.1596
_cell_angle_alpha 90.00
_cell_angle_beta 90.00
_cell_angle_gamma 90.00
_space_group_name_H-M_alt 'P 1'
_space_group_IT_number 1
loop_
_space_group_symop_operation_xyz
'x,y,z'
loop_
_atom_site_label
_atom_site_type_symbol
_atom_site_fract_x
_atom_site_fract_y
_atom_site_fract_z
P1 P 0.0000 0.0000 0.5000
S1 S 0.0000 0.5000 0.0000
S2 S 0.5000 0.0000 0.0000
Au1 Au 0.5000 0.5000 0.5000
Sn1 Sn 0.0000 0.0000 0.0000
# **Crystal system**: tetragonal

***

In terms of stability, run one leads; the second structure lies 381 meV per atom higher.